[1]
# YAlCu (PBE-GGA, optimized geometry)
# Calculated total energy ... -52.209 eV per cell
# Energy of formation ... 0.42 eV per atom
data_YAlCu
_chemical_formula_sum 'Y4 Al4 Cu4'
_space_group_name_H-M_alt 'F -4 3 m'
_space_group_IT_number 216
_space_group_name_Hall 'F -4 2 3'
_cell_length_a 6.647
_cell_length_b 6.647
_cell_length_c 6.647
_cell_angle_alpha 90.00
_cell_angle_beta 90.00
_cell_angle_gamma 90.00
loop_
_atom_site_label
_atom_site_type_symbol
_atom_site_fract_x
_atom_site_fract_y
_atom_site_fract_z
_atom_site_occupancy
Y1 Y 0.000 0.000 0.000 1
Al1 Al 0.250 0.250 0.250 1
Cu1 Cu 0.250 0.250 0.750 1

***

[2]
# CoNiN (PBE-GGA, optimized geometry)
# Distance to the lowest polymorph of the same formula ... 92 meV/atom
# Uncorrected formation energy ... 0.72 eV per formula unit
# Calculated total energy ... -20.490 eV per cell
data_CoNiN
_chemical_formula_sum 'Co1 Ni1 N1'
_space_group_name_H-M_alt 'P 3 m 1'
_space_group_IT_number 156
_cell_length_a 2.8572
_cell_length_b 2.8572
_cell_length_c 4.0427
_cell_angle_alpha 90.00
_cell_angle_beta 90.00
_cell_angle_gamma 120.00
loop_
_space_group_symop_operation_xyz
'x,y,z'
'-y,x-y,z'
'-x+y,-x,z'
'-y,-x,z'
'-x+y,y,z'
'x,x-y,z'
loop_
_atom_site_label
_atom_site_type_symbol
_atom_site_fract_x
_atom_site_fract_y
_atom_site_fract_z
_atom_site_occupancy
Co1 Co 0.0000 0.0000 0.0000 1
Ni1 Ni 0.3333 0.6667 0.4926 1
N1 N 0.6667 0.3333 0.2083 1

***

[3]
# KCo2Os (PBE-GGA, optimized geometry)
# Distance to the lowest polymorph of the same formula ... 779 meV/atom
# Calculated total energy ... -20.672 eV per cell
# Energy of formation ... 1.47 eV per atom
data_KCo2Os
_chemical_formula_sum 'K1 Co2 Os1'
_space_group_name_H-M_alt 'P m m m'
_space_group_IT_number 47
_cell_length_a 2.556
_cell_length_b 4.828
_cell_length_c 5.328
_cell_angle_alpha 90.00
_cell_angle_beta 90.00
_cell_angle_gamma 90.00
loop_
_space_group_symop_operation_xyz
'x,y,z'
'-x,-y,-z'
'-x,-y,z'
'x,y,-z'
'x,-y,-z'
'-x,y,z'
'-x,y,-z'
'x,-y,z'
loop_
_atom_site_label
_atom_site_type_symbol
_atom_site_fract_x
_atom_site_fract_y
_atom_site_fract_z
_atom_site_occupancy
K1 K 0.000 0.000 0.000 1
Co1 Co 0.000 0.500 0.500 1
Co2 Co 0.500 0.500 0.000 1
Os1 Os 0.500 0.000 0.500 1

***

[4]
# SiRhF3 (PBE-GGA, optimized geometry)
# Distance to the lowest polymorph of the same formula ... 267 meV/atom
# Uncorrected formation energy ... -2.77 eV per formula unit
# Calculated total energy ... -21.161 eV per cell
data_SiRhF3
_chemical_formula_sum 'Si1 Rh1 F3'
_space_group_name_H-M_alt 'P m -3 m'
_space_group_IT_number 221
_space_group_name_Hall '-P 4 2 3'
_cell_length_a 4.217
_cell_length_b 4.217
_cell_length_c 4.217
_cell_angle_alpha 90.00
_cell_angle_beta 90.00
_cell_angle_gamma 90.00
loop_
_atom_site_label
_atom_site_type_symbol
_atom_site_fract_x
_atom_site_fract_y
_atom_site_fract_z
_atom_site_occupancy
Si1 Si 0.000 0.000 0.000 1
Rh1 Rh 0.500 0.500 0.500 1
F1 F 0.000 0.500 0.500 1

***

[5]
# HoGaPd (PBE-GGA, optimized geometry)
# Calculated total energy ... -29.824 eV per cell
# Energy of formation ... -0.70 eV per atom
data_HoGaPd
_chemical_formula_sum 'Ho2 Ga2 Pd2'
_space_group_name_H-M_alt 'I 4 m m'
_space_group_IT_number 107
_space_group_name_Hall 'I 4 -2'
_cell_length_a 3.435
_cell_length_b 3.435
_cell_length_c 9.937
_cell_angle_alpha 90.00
_cell_angle_beta 90.00
_cell_angle_gamma 90.00
loop_
_atom_site_label
_atom_site_type_symbol
_atom_site_fract_x
_atom_site_fract_y
_atom_site_fract_z
_atom_site_occupancy
Ho1 Ho 0.000 0.000 0.000 1
Ga1 Ga 0.000 0.000 0.690 1
Pd1 Pd 0.000 0.000 0.309 1

***

[6]
# NaY6Te8 (PBE-GGA, optimized geometry)
# Distance to the lowest polymorph of the same formula ... 46 meV/atom
# Uncorrected formation energy ... -19.46 eV per formula unit
# Calculated total energy ... -84.695 eV per cell
data_NaY6Te8
_chemical_formula_sum 'Na1 Y6 Te8'
_space_group_name_H-M_alt 'P -3'
_space_group_IT_number 147
_cell_length_a 11.5910
_cell_length_b 11.5910
_cell_length_c 4.4743
_cell_angle_alpha 90.00
_cell_angle_beta 90.00
_cell_angle_gamma 120.00
loop_
_space_group_symop_operation_xyz
'x,y,z'
'-x,-y,-z'
'-y,x-y,z'
'y,-x+y,-z'
'-x+y,-x,z'
'x-y,x,-z'
loop_
_atom_site_label
_atom_site_type_symbol
_atom_site_fract_x
_atom_site_fract_y
_atom_site_fract_z
_atom_site_occupancy
Na1 Na 0.0000 0.0000 0.0000 1
Y1 Y 0.1347 0.4865 0.7502 1
Te1 Te 0.0436 0.6987 0.7502 1
Te2 Te 0.3333 0.6667 0.2503 1

***

[7]
# NaLaSn3 (PBE-GGA, optimized geometry)
# Distance to the lowest polymorph of the same formula ... 0 meV/atom
# Calculated total energy ... -17.690 eV per cell
# Energy of formation ... 0.11 eV per atom
data_NaLaSn3
_chemical_formula_sum 'Na1 La1 Sn3'
_space_group_name_H-M_alt 'P m -3 m'
_space_group_IT_number 221
_space_group_name_Hall '-P 4 2 3'
_cell_length_a 5.334
_cell_length_b 5.334
_cell_length_c 5.334
_cell_angle_alpha 90.00
_cell_angle_beta 90.00
_cell_angle_gamma 90.00
loop_
_atom_site_label
_atom_site_type_symbol
_atom_site_fract_x
_atom_site_fract_y
_atom_site_fract_z
_atom_site_occupancy
Na1 Na 0.000 0.000 0.000 1
La1 La 0.500 0.500 0.500 1
Sn1 Sn 0.000 0.000 0.500 1

***

[8]
# Ta2NiPb (PBE-GGA, optimized geometry)
# Calculated total energy ... -123.603 eV per cell
# Energy of formation ... 0.57 eV per atom
data_Ta2NiPb
_chemical_formula_sum 'Ta8 Ni4 Pb4'
_space_group_name_H-M_alt 'F -4 3 m'
_space_group_IT_number 216
_space_group_name_Hall 'F -4 2 3'
_cell_length_a 6.629
_cell_length_b 6.629
_cell_length_c 6.629
_cell_angle_alpha 90.00
_cell_angle_beta 90.00
_cell_angle_gamma 90.00
loop_
_atom_site_label
_atom_site_type_symbol
_atom_site_fract_x
_atom_site_fract_y
_atom_site_fract_z
_atom_site_occupancy
Ta1 Ta 0.000 0.000 0.000 1
Ta2 Ta 0.250 0.250 0.250 1
Ni1 Ni 0.000 0.000 0.500 1
Pb1 Pb 0.250 0.250 0.750 1

***

[9]
# MnCr2Se (PBE-GGA, optimized geometry)
# Uncorrected formation energy ... 1.30 eV per formula unit
# Calculated total energy ... -91.800 eV per cell
data_MnCr2Se
_chemical_formula_sum 'Mn3 Cr6 Se3'
_space_group_name_H-M_alt 'R -3 m'
_space_group_IT_number 166
_space_group_name_Hall '-R 3 2"'
_cell_length_a 3.0842
_cell_length_b 3.0842
_cell_length_c 22.1220
_cell_angle_alpha 90.00
_cell_angle_beta 90.00
_cell_angle_gamma 120.00
loop_
_atom_site_label
_atom_site_type_symbol
_atom_site_fract_x
_atom_site_fract_y
_atom_site_fract_z
_atom_site_occupancy
Mn1 Mn 0.0000 0.0000 0.0000 1
Cr1 Cr 0.0000 0.0000 0.2525 1
Se1 Se 0.0000 0.0000 0.5000 1

***

[10]
# Ca3La2Sm2 (PBE-GGA, optimized geometry)
# Calculated total energy ... -49.658 eV per cell
# Energy of formation ... 0.07 eV per atom
data_Ca3La2Sm2
_chemical_formula_sum 'Ca6 La4 Sm4'
_space_group_name_H-M_alt 'C m m m'
_space_group_IT_number 65
_space_group_name_Hall '-C 2 2'
_cell_length_a 5.813
_cell_length_b 25.299
_cell_length_c 3.658
_cell_angle_alpha 90.00
_cell_angle_beta 90.00
_cell_angle_gamma 90.00
loop_
_atom_site_label
_atom_site_type_symbol
_atom_site_fract_x
_atom_site_fract_y
_atom_site_fract_z
_atom_site_occupancy
Ca1 Ca 0.000 0.000 0.000 1
Ca2 Ca 0.000 0.424 0.500 1
La1 La 0.000 0.280 0.500 1
Sm1 Sm 0.000 0.153 0.000 1

***

[11]
# CaPm3Au2 (PBE-GGA, optimized geometry)
# Distance to the lowest polymorph of the same formula ... 123 meV/atom
# Calculated total energy ... -102.012 eV per cell
# Energy of formation ... -0.45 eV per atom
data_CaPm3Au2
_chemical_formula_sum 'Ca4 Pm12 Au8'
_space_group_name_H-M_alt 'I b a m'
_space_group_IT_number 72
_space_group_name_Hall '-I 2 2c'
_cell_length_a 7.189
_cell_length_b 14.372
_cell_length_c 7.481
_cell_angle_alpha 90.00
_cell_angle_beta 90.00
_cell_angle_gamma 90.00
loop_
_atom_site_label
_atom_site_type_symbol
_atom_site_fract_x
_atom_site_fract_y
_atom_site_fract_z
_atom_site_occupancy
Ca1 Ca 0.000 0.000 0.000 1
Pm1 Pm 0.000 0.235 0.250 1
Pm2 Pm 0.000 0.500 0.250 1
Au1 Au 0.205 0.359 0.000 1

***

[12]
# LiTlF6 (PBE-GGA, optimized geometry)
# Uncorrected formation energy ... -12.16 eV per formula unit
# Calculated total energy ... -27.668 eV per cell
data_LiTlF6
_chemical_formula_sum 'Li1 Tl1 F6'
_space_group_name_H-M_alt 'P -1'
_space_group_IT_number 2
_cell_length_a 5.154
_cell_length_b 5.220
_cell_length_c 5.437
_cell_angle_alpha 99.62
_cell_angle_beta 118.16
_cell_angle_gamma 108.53
loop_
_space_group_symop_operation_xyz
'x,y,z'
'-x,-y,-z'
loop_
_atom_site_label
_atom_site_type_symbol
_atom_site_fract_x
_atom_site_fract_y
_atom_site_fract_z
_atom_site_occupancy
Li1 Li 0.000 0.000 0.000 1
Tl1 Tl 0.000 0.500 0.500 1
F1 F 0.055 0.677 0.155 1
F2 F 0.192 0.230 0.420 1
F3 F 0.474 0.161 0.093 1

***

[13]
# ErThCS (PBE-GGA, optimized geometry)
# Uncorrected formation energy ... -4.97 eV per formula unit
# Calculated total energy ... -90.899 eV per cell
data_ErThCS
_chemical_formula_sum 'Er3 Th3 C3 S3'
_space_group_name_H-M_alt 'R 3 m'
_space_group_IT_number 160
_space_group_name_Hall 'R 3 -2"'
_cell_length_a 3.7748
_cell_length_b 3.7748
_cell_length_c 19.4178
_cell_angle_alpha 90.00
_cell_angle_beta 90.00
_cell_angle_gamma 120.00
loop_
_atom_site_label
_atom_site_type_symbol
_atom_site_fract_x
_atom_site_fract_y
_atom_site_fract_z
_atom_site_occupancy
Er1 Er 0.0000 0.0000 0.0000 1
Th1 Th 0.0000 0.0000 0.5246 1
C1 C 0.0000 0.0000 0.2622 1
S1 S 0.0000 0.0000 0.7563 1